No. 1
Tm2MgAl3: relaxed, PBE.

Results
Total energy = -88.3 eV/cell
DFT formation energy = -0.050 eV/atom

Lattice parameters (Å, degrees): 12.228 9.134 5.101 90.00 90.00 90.00
Space group Cmcm (No. 63)
Unique sites:
Tm 0.136 0.211 0.250 x8
Mg 0.000 0.403 0.750 x4
Al 0.000 0.077 0.750 x4
Al 0.205 0.500 0.000 x8

No. 2
TmMg3Al: relaxed, PBE.

Results
Total energy = -36.1 eV/cell
DFT formation energy = 0.196 eV/atom

Lattice parameters (Å, degrees): 7.4325 7.4325 8.1155 90.00 90.00 120.00
Space group R3m (No. 160, hexagonal axes)
Unique sites:
Tm 0.0000 0.0000 0.0000 x3
Mg 0.2010 0.4021 0.3067 x9
Al 0.0000 0.0000 0.3627 x3

No. 3
TmMgAl: relaxed, PBE.

Results
Total energy = -20.6 eV/cell
DFT formation energy = -0.160 eV/atom

Lattice parameters (Å, degrees): 3.301 3.301 12.463 90.00 90.00 90.00
Space group I4mm (No. 107)
Unique sites:
Tm 0.000 0.000 0.000 x2
Mg 0.000 0.000 0.696 x2
Al 0.000 0.000 0.342 x2

Which formula does entry 3 have?
TmMgAl

Number 1 is which compound?
Tm2MgAl3